Record 1
TlOsIN2 | PBE-GGA | relaxed

a = 4.052 Å, b = 4.052 Å, c = 5.818 Å
α = 90.00°, β = 90.00°, γ = 90.00°
Fractional coordinates of all 5 atoms:
1 Tl 0.000 0.000 0.000
2 Os 0.500 0.500 0.500
3 I 0.500 0.500 0.000
4 N 0.000 0.500 0.500
5 N 0.500 0.000 0.500

* raw total energy: -5.4015 eV/atom
* excess energy over the best structure of this formula in the dataset: 0.000 eV per formula unit
* raw formation energy: 958 meV per atom
* symmetry: P4/mmm (123)
* volume: 19.108 Å³ per atom
* Fermi-level density of states: 0.474 states/eV/atom

---

Record 2
CsThI6 | PBE-GGA | relaxed

a = 5.659 Å, b = 9.139 Å, c = 9.579 Å
α = 71.86°, β = 72.86°, γ = 72.03°
Fractional coordinates of all 8 atoms:
1 Cs 0.000 0.000 0.000
2 Th 0.500 0.500 0.500
3 I 0.063 0.575 0.299
4 I 0.283 0.678 0.757
5 I 0.420 0.855 0.307
6 I 0.580 0.145 0.693
7 I 0.717 0.322 0.243
8 I 0.937 0.425 0.701

* raw total energy: -3.2246 eV/atom
* excess energy over the best structure of this formula in the dataset: 0.280 eV per formula unit
* raw formation energy: -1028 meV per atom
* symmetry: P-1 (2)
* volume: 54.608 Å³ per atom
* Fermi-level density of states: 0.713 states/eV/atom

---

Record 3
LaInTc2 | PBE-GGA | relaxed

a = 4.590 Å, b = 4.590 Å, c = 7.703 Å
α = 90.00°, β = 90.00°, γ = 90.00°
Fractional coordinates of all 8 atoms:
1 La 0.000 0.000 0.000
2 La 0.500 0.500 0.500
3 In 0.000 0.500 0.250
4 In 0.500 0.000 0.750
5 Tc 0.000 0.000 0.500
6 Tc 0.000 0.500 0.750
7 Tc 0.500 0.000 0.250
8 Tc 0.500 0.500 0.000

* raw total energy: -6.6308 eV/atom
* symmetry: I-4m2 (119)
* volume: 20.286 Å³ per atom
* Fermi-level density of states: 1.131 states/eV/atom